[1]
A relaxed LaMg2W crystal. Source: Alexandria, functional PBE.

Output
The calculated total energy is -4.877 eV per atom. As for the energy above the lowest structure with this stoichiometry: 0 meV/atom. Its calculated formation energy is 0.39 eV per atom. As for the density of states at the Fermi level: 0.695 states/eV per atom.

Cell: 2.916 2.916 10.304 Å, 90.00 90.00 91.15°
Fractional positions:
La1 0.000 0.000 0.000
Mg1 0.500 0.500 0.290
Mg2 0.500 0.500 0.710
W1 0.000 0.000 0.500



[2]
A relaxed PmTmSnRu crystal. Source: Alexandria, functional PBE.

Output
The calculated total energy is -5.990 eV per atom. Its calculated formation energy is -0.37 eV per atom. As for the density of states at the Fermi level: 0.647 states/eV per atom.

Cell: 5.107 5.107 5.107 Å, 60.00 60.00 60.00°
Fractional positions:
Pm1 0.000 0.000 0.000
Tm1 0.500 0.500 0.500
Sn1 0.750 0.750 0.750
Ru1 0.250 0.250 0.250



[3]
A relaxed TaTe2P crystal. Source: Alexandria, functional PBE.

Output
The calculated total energy is -5.328 eV per atom. As for the density of states at the Fermi level: 0.547 states/eV per atom.

Cell: 4.889 4.889 4.889 Å, 60.00 60.00 60.00°
Fractional positions:
Ta1 0.000 0.000 0.000
Te1 0.250 0.250 0.250
Te2 0.500 0.500 0.500
P1 0.750 0.750 0.750



Volume, record by record: 21.90 23.55 20.66 Å³/atom